# 1
Entry from Alexandria: an optimized crystal structure of B2HW (PBE).

Magnetic moment (μB/f.u.): 0.00
Electronic total energy (eV/atom): -6.059

Geometry as CIF:
```
data_B2HW
_cell_length_a 5.222
_cell_length_b 5.222
_cell_length_c 5.222
_cell_angle_alpha 90.00
_cell_angle_beta 90.00
_cell_angle_gamma 90.00
_space_group_name_H-M_alt 'F m -3 m'
_space_group_IT_number 225
_space_group_name_Hall '-F 4 2 3'
loop_
_atom_site_label
_atom_site_fract_x
_atom_site_fract_y
_atom_site_fract_z
B1 0.250 0.250 0.250
H1 0.000 0.000 0.000
W1 0.000 0.000 0.500
```

# 2
Entry from Alexandria: an optimized crystal structure of GeSbS3 (PBE).

Magnetic moment (μB/f.u.): 0.00
Electronic total energy (eV/atom): -3.933

Geometry as CIF:
```
data_GeSbS3
_cell_length_a 4.709
_cell_length_b 4.709
_cell_length_c 4.709
_cell_angle_alpha 90.00
_cell_angle_beta 90.00
_cell_angle_gamma 90.00
_space_group_name_H-M_alt 'P m -3 m'
_space_group_IT_number 221
_space_group_name_Hall '-P 4 2 3'
loop_
_atom_site_label
_atom_site_fract_x
_atom_site_fract_y
_atom_site_fract_z
Ge1 0.000 0.000 0.000
Sb1 0.500 0.500 0.500
S1 0.000 0.000 0.500
```

# 3
Entry from Alexandria: an optimized crystal structure of NaErAgHg (PBE).

Magnetic moment (μB/f.u.): 0.00
Formation energy (meV per atom): -193

Geometry as CIF:
```
data_NaErAgHg
_cell_length_a 7.198
_cell_length_b 7.198
_cell_length_c 7.198
_cell_angle_alpha 90.00
_cell_angle_beta 90.00
_cell_angle_gamma 90.00
_space_group_name_H-M_alt 'F -4 3 m'
_space_group_IT_number 216
_space_group_name_Hall 'F -4 2 3'
loop_
_atom_site_label
_atom_site_fract_x
_atom_site_fract_y
_atom_site_fract_z
Na1 0.000 0.000 0.000
Er1 0.000 0.000 0.500
Ag1 0.250 0.250 0.750
Hg1 0.250 0.250 0.250
```

# 4
Entry from Alexandria: an optimized crystal structure of MnRhSeBr2 (PBE).

Magnetic moment (μB/f.u.): 4.89
Electronic total energy (eV/atom): -4.393

Geometry as CIF:
```
data_MnRhSeBr2
_cell_length_a 5.020
_cell_length_b 5.020
_cell_length_c 4.965
_cell_angle_alpha 90.00
_cell_angle_beta 90.00
_cell_angle_gamma 90.00
_space_group_name_H-M_alt 'P 4/m m m'
_space_group_IT_number 123
_space_group_name_Hall '-P 4 2'
loop_
_atom_site_label
_atom_site_fract_x
_atom_site_fract_y
_atom_site_fract_z
Mn1 0.000 0.000 0.000
Rh1 0.500 0.500 0.500
Se1 0.500 0.500 0.000
Br1 0.000 0.500 0.500
```

# 5
Entry from Alexandria: an optimized crystal structure of UTl3Te4 (PBE).

Magnetic moment (μB/f.u.): 1.19
Electronic total energy (eV/atom): -4.146

Geometry as CIF:
```
data_UTl3Te4
_cell_length_a 6.364
_cell_length_b 9.561
_cell_length_c 10.990
_cell_angle_alpha 90.00
_cell_angle_beta 90.00
_cell_angle_gamma 90.00
_space_group_name_H-M_alt 'P m m n'
_space_group_IT_number 59
loop_
_space_group_symop_operation_xyz
'x,y,z'
'-x,-y,-z'
'-x+1/2,-y+1/2,z'
'x+1/2,y+1/2,-z'
'x+1/2,-y,-z'
'-x+1/2,y,z'
'-x,y+1/2,-z'
'x,-y+1/2,z'
loop_
_atom_site_label
_atom_site_fract_x
_atom_site_fract_y
_atom_site_fract_z
U1 0.250 0.250 0.199
Tl1 0.250 0.055 0.660
Tl2 0.250 0.750 0.122
Te1 0.250 0.250 0.934
Te2 0.250 0.502 0.347
Te3 0.250 0.750 0.803
```

# 6
Entry from Alexandria: an optimized crystal structure of BiPd3F (PBE).

Magnetic moment (μB/f.u.): 0.00
Electronic total energy (eV/atom): -3.682

Geometry as CIF:
```
data_BiPd3F
_cell_length_a 5.122
_cell_length_b 5.122
_cell_length_c 5.122
_cell_angle_alpha 90.00
_cell_angle_beta 90.00
_cell_angle_gamma 90.00
_space_group_name_H-M_alt 'P m -3 m'
_space_group_IT_number 221
_space_group_name_Hall '-P 4 2 3'
loop_
_atom_site_label
_atom_site_fract_x
_atom_site_fract_y
_atom_site_fract_z
Bi1 0.000 0.000 0.000
Pd1 0.000 0.000 0.500
F1 0.500 0.500 0.500
```

# 7
Entry from Alexandria: an optimized crystal structure of Ti2NbRe4 (PBE).

Magnetic moment (μB/f.u.): 0.00
Formation energy (meV per atom): 283

Geometry as CIF:
```
data_Ti2NbRe4
_cell_length_a 6.187
_cell_length_b 6.187
_cell_length_c 6.148
_cell_angle_alpha 90.00
_cell_angle_beta 90.00
_cell_angle_gamma 90.00
_space_group_name_H-M_alt 'I 4/m m m'
_space_group_IT_number 139
_space_group_name_Hall '-I 4 2'
loop_
_atom_site_label
_atom_site_fract_x
_atom_site_fract_y
_atom_site_fract_z
Ti1 0.000 0.500 0.000
Nb1 0.000 0.000 0.000
Re1 0.250 0.250 0.250
```

# 8
Entry from Alexandria: an optimized crystal structure of Tb2Dy2Ga4Pd (PBE).

Magnetic moment (μB/f.u.): 0.00
Formation energy (meV per atom): -420

Geometry as CIF:
```
data_Tb2Dy2Ga4Pd
_cell_length_a 7.041
_cell_length_b 7.041
_cell_length_c 8.594
_cell_angle_alpha 90.00
_cell_angle_beta 90.00
_cell_angle_gamma 90.00
_space_group_name_H-M_alt 'I 4/m m m'
_space_group_IT_number 139
_space_group_name_Hall '-I 4 2'
loop_
_atom_site_label
_atom_site_fract_x
_atom_site_fract_y
_atom_site_fract_z
Tb1 0.000 0.000 0.190
Dy1 0.000 0.500 0.250
Ga1 0.249 0.249 0.500
Pd1 0.000 0.000 0.500
```

- The highest magnetic moment belongs to which entry?
  MnRhSeBr2